Record 1
An optimized crystal structure of YTc5, computed with GGA-PBE.

Cell lengths 5.2267, 5.2267, 5.2267 Å; angles 60.00, 60.00, 60.00 degrees
With the nearest neighbours (Å) after each atom.
Fractional positions:
Y  0.0000  0.0000  0.0000  16 Tc 3.06-3.20
Tc  0.1233  0.6256  0.6256  6 Tc 2.60-2.63
Tc  0.2500  0.2500  0.2500  12 Tc 3.07, 4 Y 3.20
Tc  0.6256  0.1233  0.6256  6 Tc 2.60-2.63
Tc  0.6256  0.6256  0.1233  6 Tc 2.60-2.63
Tc  0.6256  0.6256  0.6256  6 Tc 2.60-2.63

Calculated formation energy ... 0.161 eV per atom
Space-group type ... F-43m, No. 216

---

Record 2
An optimized crystal structure of V3FeC, computed with GGA-PBE.

Cell lengths 4.2063, 4.2063, 4.2063 Å; angles 90.00, 90.00, 90.00 degrees
With the nearest neighbours (Å) after each atom.
Fractional positions:
V  0.0000  0.0000  0.5000  2 Fe 2.10
V  0.0000  0.5000  0.0000  2 Fe 2.10
V  0.5000  0.0000  0.0000  2 Fe 2.10
Fe  0.0000  0.0000  0.0000  6 V 2.10
C  0.5000  0.5000  0.5000  12 V 2.97

Calculated formation energy ... 1.731 eV per atom
Space-group type ... Pm-3m, No. 221

---

Record 3
An optimized crystal structure of LaY2Co, computed with GGA-PBE.

Cell lengths 8.5474, 8.5474, 6.1978 Å; angles 90.00, 90.00, 90.00 degrees
With the nearest neighbours (Å) after each atom.
Fractional positions:
La  0.0000  0.0000  0.0000  2 Co 3.10, 4 Y 3.44
La  0.0000  0.5000  0.2500  2 Co 3.10, 4 Y 3.44
La  0.5000  0.0000  0.7500  2 Co 3.10, 4 Y 3.44
La  0.5000  0.5000  0.5000  2 Co 3.10, 4 Y 3.44
Y  0.1603  0.7500  0.6250  2 Co 2.65
Y  0.2500  0.1603  0.3750  2 Co 2.65
Y  0.2500  0.3397  0.8750  2 Co 2.65
Y  0.3397  0.7500  0.1250  2 Co 2.65
Y  0.6603  0.2500  0.1250  2 Co 2.65
Y  0.7500  0.6603  0.8750  2 Co 2.65
Y  0.7500  0.8397  0.3750  2 Co 2.65
Y  0.8397  0.2500  0.6250  2 Co 2.65
Co  0.0000  0.0000  0.5000  4 Y 2.65
Co  0.0000  0.5000  0.7500  4 Y 2.65
Co  0.5000  0.0000  0.2500  4 Y 2.65
Co  0.5000  0.5000  0.0000  4 Y 2.65

Calculated formation energy ... 0.119 eV per atom
Space-group type ... I-42d, No. 122

---

Number 1: total magnetization 0.0 μB/cell. Number 2: total magnetization 0.0 μB/cell. Number 3: total magnetization 0.0 μB/cell.